Entry 1:
The following is a DFT calculation (GGA-PBE) of a geometry-optimized CrAs2Ru structure. Values from VASP.

Values from the calculation:
The calculation puts the formation energy at -0.16 eV per formula unit. The calculated total energy is -7.090 eV/atom. The symmetry is P4mm (99). The calculation puts the magnetic moment at 3.44 Bohr magnetons per cell. The value obtained for the offset from the most stable computed form is 0.026 eV per atom.

Geometry as Quantum ESPRESSO input:
```
&SYSTEM
  ibrav = 0, nat = 4, ntyp = 3
/
ATOMIC_SPECIES
As 74.92 As.upf
Cr 52.00 Cr.upf
Ru 101.07 Ru.upf
ATOMIC_POSITIONS crystal
As 0.0000 0.0000 0.9533
As 0.5000 0.5000 0.3127
Cr 0.0000 0.0000 0.4470
Ru 0.5000 0.5000 0.7870
CELL_PARAMETERS angstrom
3.3744 0.0000 0.0000
0.0000 3.3744 0.0000
0.0000 0.0000 5.4498
```

=====

Entry 2:
The following is a DFT calculation (GGA-PBE) of a geometry-optimized CrAs2Ru structure. Values from VASP.

Values from the calculation:
The calculation puts the formation energy at -0.27 eV per formula unit. The calculated total energy is -7.116 eV/atom. The symmetry is Cm (8). The calculation puts the magnetic moment at 2.01 Bohr magnetons per cell. The value obtained for the offset from the most stable computed form is 0.000 eV per atom.

Geometry as Quantum ESPRESSO input:
```
&SYSTEM
  ibrav = 0, nat = 4, ntyp = 3
/
ATOMIC_SPECIES
As 74.92 As.upf
Cr 52.00 Cr.upf
Ru 101.07 Ru.upf
ATOMIC_POSITIONS crystal
As 0.9967 0.9967 0.0606
As 0.7543 0.7543 0.6603
Cr 0.4854 0.4854 0.5849
Ru 0.2636 0.2636 0.1943
CELL_PARAMETERS angstrom
-0.9814 2.7423 -3.6046
-0.4501 -0.1258 -4.6107
-4.4436 -0.6273 -0.5584
```

=====

Entry 3:
The following is a DFT calculation (GGA-PBE) of a geometry-optimized CrAsRu4 structure. Values from VASP.

Values from the calculation:
The calculation puts the formation energy at 3.87 eV per formula unit. The calculated total energy is -7.917 eV/atom. The symmetry is F-43m (216). The calculation puts the magnetic moment at 0.76 Bohr magnetons per cell.

Geometry as Quantum ESPRESSO input:
```
&SYSTEM
  ibrav = 0, nat = 6, ntyp = 3
/
ATOMIC_SPECIES
Cr 52.00 Cr.upf
As 74.92 As.upf
Ru 101.07 Ru.upf
ATOMIC_POSITIONS crystal
Cr 0.0000 0.0000 0.0000
As 0.7500 0.7500 0.7500
Ru 0.8756 0.3748 0.3748
Ru 0.3748 0.3748 0.8756
Ru 0.3748 0.8756 0.3748
Ru 0.3748 0.3748 0.3748
CELL_PARAMETERS angstrom
0.0000 3.6203 3.6203
3.6203 0.0000 3.6203
3.6203 3.6203 0.0000
```

=====

Entry 4:
The following is a DFT calculation (GGA-PBE) of a geometry-optimized CrAsRu3 structure. Values from VASP.

Values from the calculation:
The calculation puts the formation energy at 6.70 eV per formula unit. The calculated total energy is -7.079 eV/atom. The symmetry is Pm-3m (221). The calculation puts the magnetic moment at 0.05 Bohr magnetons per cell. The value obtained for the offset from the most stable computed form is 0.095 eV per atom.

Geometry as Quantum ESPRESSO input:
```
&SYSTEM
  ibrav = 0, nat = 5, ntyp = 3
/
ATOMIC_SPECIES
Ru 101.07 Ru.upf
As 74.92 As.upf
Cr 52.00 Cr.upf
ATOMIC_POSITIONS crystal
Ru 0.0000 0.5000 0.0000
Ru 0.0000 0.0000 0.5000
Ru 0.5000 0.0000 0.0000
As 0.0000 0.0000 0.0000
Cr 0.5000 0.5000 0.5000
CELL_PARAMETERS angstrom
4.4552 0.0000 0.0000
0.0000 4.4552 0.0000
0.0000 0.0000 4.4552
```

=====

Entry 5:
The following is a DFT calculation (GGA-PBE) of a geometry-optimized CrAs2Ru structure. Values from VASP.

Values from the calculation:
The calculation puts the formation energy at 1.03 eV per formula unit. The calculated total energy is -6.793 eV/atom. The symmetry is I-42d (122). The calculation puts the magnetic moment at 5.36 Bohr magnetons per cell. The value obtained for the offset from the most stable computed form is 0.323 eV per atom.

Geometry as Quantum ESPRESSO input:
```
&SYSTEM
  ibrav = 0, nat = 8, ntyp = 3
/
ATOMIC_SPECIES
Ru 101.07 Ru.upf
As 74.92 As.upf
Cr 52.00 Cr.upf
ATOMIC_POSITIONS crystal
Ru 0.0000 0.0000 0.0000
Ru 0.7500 0.2500 0.5000
As 0.6339 0.1250 0.2500
As 0.1161 0.6250 0.2500
As 0.3750 0.3661 0.7500
As 0.8750 0.8839 0.7500
Cr 0.5000 0.5000 0.0000
Cr 0.2500 0.7500 0.5000
CELL_PARAMETERS angstrom
5.4391 0.0000 0.0000
0.0000 5.4391 0.0000
2.7196 2.7196 5.7457
```

=====

Entry 6:
The following is a DFT calculation (GGA-PBE) of a geometry-optimized CrAs2Ru structure. Values from VASP.

Values from the calculation:
The calculation puts the formation energy at 0.82 eV per formula unit. The calculated total energy is -6.845 eV/atom. The symmetry is P2/m (10). The calculation puts the magnetic moment at 3.02 Bohr magnetons per cell. The value obtained for the offset from the most stable computed form is 0.272 eV per atom.

Geometry as Quantum ESPRESSO input:
```
&SYSTEM
  ibrav = 0, nat = 4, ntyp = 3
/
ATOMIC_SPECIES
As 74.92 As.upf
Cr 52.00 Cr.upf
Ru 101.07 Ru.upf
ATOMIC_POSITIONS crystal
As 0.0000 0.9016 0.0143
As 0.0000 0.5984 0.4857
Cr 0.5000 0.2500 0.2500
Ru 0.5000 0.7500 0.7500
CELL_PARAMETERS angstrom
-0.6804 -0.4398 3.8946
0.1216 -3.1432 -0.3337
5.0619 0.0268 0.8874
```

=====

Entry 7:
The following is a DFT calculation (GGA-PBE) of a geometry-optimized CrAs2Ru structure. Values from VASP.

Values from the calculation:
The calculation puts the formation energy at 0.07 eV per formula unit. The calculated total energy is -7.032 eV/atom. The symmetry is Fm-3m (225). The calculation puts the magnetic moment at 0.00 Bohr magnetons per cell. The value obtained for the offset from the most stable computed form is 0.084 eV per atom.

Geometry as Quantum ESPRESSO input:
```
&SYSTEM
  ibrav = 0, nat = 4, ntyp = 3
/
ATOMIC_SPECIES
Ru 101.07 Ru.upf
As 74.92 As.upf
Cr 52.00 Cr.upf
ATOMIC_POSITIONS crystal
Ru 0.5000 0.5000 0.5000
As 0.2500 0.2500 0.2500
As 0.7500 0.7500 0.7500
Cr 0.0000 0.0000 0.0000
CELL_PARAMETERS angstrom
4.2788 0.0051 0.2093
1.9815 1.9038 3.2866
2.0027 -2.3673 2.9558
```

=====

Entry 8:
The following is a DFT calculation (GGA-PBE) of a geometry-optimized CrAs2Ru structure. Values from VASP.

Values from the calculation:
The calculation puts the formation energy at -0.27 eV per formula unit. The calculated total energy is -7.116 eV/atom. The symmetry is Imm2 (44). The calculation puts the magnetic moment at 0.00 Bohr magnetons per cell. The value obtained for the offset from the most stable computed form is 0.000 eV per atom.

Geometry as Quantum ESPRESSO input:
```
&SYSTEM
  ibrav = 0, nat = 4, ntyp = 3
/
ATOMIC_SPECIES
As 74.92 As.upf
Cr 52.00 Cr.upf
Ru 101.07 Ru.upf
ATOMIC_POSITIONS crystal
As 0.0402 0.0402 0.0000
As 0.2952 0.7952 0.5000
Cr 0.4591 0.4591 0.0000
Ru 0.7055 0.2055 0.5000
CELL_PARAMETERS angstrom
-0.6759 -5.8372 -1.5275
0.7377 -5.3127 2.8452
-2.2864 5.6226 -0.1497
```

=====

Entry 9:
The following is a DFT calculation (GGA-PBE) of a geometry-optimized CrAsRu3 structure. Values from VASP.

Values from the calculation:
The calculation puts the formation energy at 6.23 eV per formula unit. The calculated total energy is -7.174 eV/atom. The symmetry is Pm-3m (221). The calculation puts the magnetic moment at 0.00 Bohr magnetons per cell. The value obtained for the offset from the most stable computed form is 0.000 eV per atom.

Geometry as Quantum ESPRESSO input:
```
&SYSTEM
  ibrav = 0, nat = 5, ntyp = 3
/
ATOMIC_SPECIES
Ru 101.07 Ru.upf
As 74.92 As.upf
Cr 52.00 Cr.upf
ATOMIC_POSITIONS crystal
Ru 0.0000 0.5000 0.0000
Ru 0.0000 0.0000 0.5000
Ru 0.5000 0.0000 0.0000
As 0.5000 0.5000 0.5000
Cr 0.0000 0.0000 0.0000
CELL_PARAMETERS angstrom
4.4272 0.0000 0.0000
0.0000 4.4272 0.0000
0.0000 0.0000 4.4272
```

=====

Entry 10:
The following is a DFT calculation (GGA-PBE) of a geometry-optimized CrAs3Ru structure. Values from VASP.

Values from the calculation:
The calculation puts the formation energy at 4.19 eV per formula unit. The calculated total energy is -5.731 eV/atom. The symmetry is Pm-3m (221). The calculation puts the magnetic moment at 1.66 Bohr magnetons per cell. The value obtained for the offset from the most stable computed form is 0.000 eV per atom.

Geometry as Quantum ESPRESSO input:
```
&SYSTEM
  ibrav = 0, nat = 5, ntyp = 3
/
ATOMIC_SPECIES
Ru 101.07 Ru.upf
As 74.92 As.upf
Cr 52.00 Cr.upf
ATOMIC_POSITIONS crystal
Ru 0.5000 0.5000 0.5000
As 0.0000 0.5000 0.0000
As 0.0000 0.0000 0.5000
As 0.5000 0.0000 0.0000
Cr 0.0000 0.0000 0.0000
CELL_PARAMETERS angstrom
4.5701 0.0000 0.0000
0.0000 4.5701 0.0000
0.0000 0.0000 4.5701
```

=====

Entry 11:
The following is a DFT calculation (GGA-PBE) of a geometry-optimized Cr4AsRu structure. Values from VASP.

Values from the calculation:
The calculation puts the formation energy at 1.75 eV per formula unit. The calculated total energy is -8.445 eV/atom. The symmetry is F-43m (216). The calculation puts the magnetic moment at 0.00 Bohr magnetons per cell.

Geometry as Quantum ESPRESSO input:
```
&SYSTEM
  ibrav = 0, nat = 6, ntyp = 3
/
ATOMIC_SPECIES
Cr 52.00 Cr.upf
As 74.92 As.upf
Ru 101.07 Ru.upf
ATOMIC_POSITIONS crystal
Cr 0.8814 0.3729 0.3729
Cr 0.3729 0.3729 0.8814
Cr 0.3729 0.8814 0.3729
Cr 0.3729 0.3729 0.3729
As 0.0000 0.0000 0.0000
Ru 0.7500 0.7500 0.7500
CELL_PARAMETERS angstrom
0.0000 3.3639 3.3639
3.3639 0.0000 3.3639
3.3639 3.3639 0.0000
```

=====

Entry 12:
The following is a DFT calculation (GGA-PBE) of a geometry-optimized CrAs2Ru structure. Values from VASP.

Values from the calculation:
The calculation puts the formation energy at 1.53 eV per formula unit. The calculated total energy is -6.668 eV/atom. The symmetry is F-43m (216). The calculation puts the magnetic moment at 3.16 Bohr magnetons per cell. The value obtained for the offset from the most stable computed form is 0.448 eV per atom.

Geometry as Quantum ESPRESSO input:
```
&SYSTEM
  ibrav = 0, nat = 4, ntyp = 3
/
ATOMIC_SPECIES
As 74.92 As.upf
Cr 52.00 Cr.upf
Ru 101.07 Ru.upf
ATOMIC_POSITIONS crystal
As 0.0000 0.0000 0.0000
As 0.2500 0.2500 0.2500
Cr 0.5000 0.5000 0.5000
Ru 0.7500 0.7500 0.7500
CELL_PARAMETERS angstrom
-3.7564 2.3276 -0.3762
-3.7039 -1.4332 1.9740
-1.6246 2.1707 3.5098
```

=====

Entry 13:
The following is a DFT calculation (GGA-PBE) of a geometry-optimized CrAs2Ru structure. Values from VASP.

Values from the calculation:
The calculation puts the formation energy at 1.12 eV per formula unit. The calculated total energy is -6.769 eV/atom. The symmetry is Cmm2 (35). The calculation puts the magnetic moment at 1.17 Bohr magnetons per cell. The value obtained for the offset from the most stable computed form is 0.347 eV per atom.

Geometry as Quantum ESPRESSO input:
```
&SYSTEM
  ibrav = 0, nat = 4, ntyp = 3
/
ATOMIC_SPECIES
As 74.92 As.upf
Cr 52.00 Cr.upf
Ru 101.07 Ru.upf
ATOMIC_POSITIONS crystal
As 0.0000 0.0000 0.9404
As 0.5000 0.5000 0.3140
Cr 0.0000 0.0000 0.5177
Ru 0.5000 0.5000 0.7279
CELL_PARAMETERS angstrom
-0.3813 -2.7425 -0.4759
0.6698 1.6388 -2.1815
9.5583 -1.6263 1.7132
```

=====

Entry 14:
The following is a DFT calculation (GGA-PBE) of a geometry-optimized CrAs2Ru structure. Values from VASP.

Values from the calculation:
The calculation puts the formation energy at -0.05 eV per formula unit. The calculated total energy is -7.061 eV/atom. The symmetry is C2/m (12). The calculation puts the magnetic moment at 0.86 Bohr magnetons per cell. The value obtained for the offset from the most stable computed form is 0.055 eV per atom.

Geometry as Quantum ESPRESSO input:
```
&SYSTEM
  ibrav = 0, nat = 4, ntyp = 3
/
ATOMIC_SPECIES
As 74.92 As.upf
Cr 52.00 Cr.upf
Ru 101.07 Ru.upf
ATOMIC_POSITIONS crystal
As 0.0000 0.0000 0.0000
As 0.5000 0.0000 0.5000
Cr 0.0000 0.5000 0.5000
Ru 0.5000 0.5000 0.0000
CELL_PARAMETERS angstrom
-5.5214 -2.9592 -2.6316
4.1380 -1.1197 -0.3960
-0.6525 -2.7880 1.0137
```